1.
Material: BaGaNiPd
Method: DFT, GGA-PBE
State: optimized geometry

It has space group R3m (No. 160, hexagonal axes), with a = 4.3544 Å, b = 4.3544 Å, c = 16.7194 Å, α = 90.00°, β = 90.00° and γ = 120.00°. The inequivalent atoms are Ba at (0.0000, 0.0000, 0.0000), Ga at (0.0000, 0.0000, 0.4962), Ni at (0.0000, 0.0000, 0.8112) and Pd at (0.0000, 0.0000, 0.1938).

Its raw total energy is -4.40 eV/atom.



2.
Material: PuGeSb
Method: DFT, GGA-PBE
State: optimized geometry

It has space group F-43m (No. 216), with a = 6.832 Å, b = 6.832 Å, c = 6.832 Å, α = 90.00°, β = 90.00° and γ = 90.00°. The inequivalent atoms are Pu at (0.000, 0.000, 0.000), Ge at (0.250, 0.250, 0.750) and Sb at (0.250, 0.250, 0.250).

Its raw total energy is -7.71 eV/atom.



3.
Material: ScNiBAu
Method: DFT, GGA-PBE
State: optimized geometry

It has space group F-43m (No. 216), with a = 6.011 Å, b = 6.011 Å, c = 6.011 Å, α = 90.00°, β = 90.00° and γ = 90.00°. The inequivalent atoms are Sc at (0.000, 0.000, 0.000), Ni at (0.250, 0.250, 0.250), B at (0.250, 0.250, 0.750) and Au at (0.000, 0.000, 0.500).

Its raw total energy is -5.41 eV/atom.



4.
Material: Dy4Er3Te2Ir2
Method: DFT, GGA-PBE
State: optimized geometry

It has space group Imm2 (No. 44), with a = 3.926 Å, b = 15.696 Å, c = 9.456 Å, α = 90.00°, β = 90.00° and γ = 90.00°. The inequivalent atoms are Dy at (0.000, 0.132, 0.000), Dy at (0.000, 0.316, 0.790), Er at (0.000, 0.000, 0.418), Er at (0.000, 0.354, 0.149), Te at (0.000, 0.000, 0.754), Te at (0.000, 0.500, 0.654) and Ir at (0.000, 0.238, 0.490).

Its raw total energy is -6.01 eV/atom.



5.
Material: ZrScIn2
Method: DFT, GGA-PBE
State: optimized geometry

It has space group Cmcm (No. 63), with a = 6.412 Å, b = 10.633 Å, c = 5.230 Å, α = 90.00°, β = 90.00° and γ = 90.00°. The inequivalent atoms are Zr at (0.000, 0.153, 0.250), Sc at (0.000, 0.342, 0.750) and In at (0.247, 0.404, 0.250).

Its raw total energy is -5.38 eV/atom.



6.
Material: HoGeTe3Au
Method: DFT, GGA-PBE
State: optimized geometry

It has space group P2_1/m (No. 11), with a = 8.437 Å, b = 4.293 Å, c = 10.372 Å, α = 90.00°, β = 107.28° and γ = 90.00°. The inequivalent atoms are Ho at (0.219, 0.250, 0.184), Ge at (0.146, 0.750, 0.701), Te at (0.076, 0.250, 0.869), Te at (0.186, 0.250, 0.481), Te at (0.467, 0.750, 0.185) and Au at (0.359, 0.750, 0.408).

Its raw total energy is -4.21 eV/atom.